{
  "formula": "CeSnPt4",
  "functional": "PBE",
  "state": "relaxed",
  "mass_density_g_cm3": 14.922,
  "de_polymorph_ev_per_fu": 0.000,
  "e_tot_ev_per_atom": -6.477,
  "lattice": [[-3.305, 1.348, -2.291], [-3.492, -3.306, 3.093], [0.314, 6.492, 7.294]],
  "species": ["Pt", "Pt", "Ce", "Pt", "Pt", "Ce", "Pt", "Sn", "Pt", "Sn", "Pt", "Pt"],
  "frac_coords": [[0.500, 0.000, 0.000], [0.655, 0.511, 0.310], [0.916, 0.750, 0.832], [0.345, 0.489, 0.690], [0.500, 0.500, 0.000], [0.084, 0.250, 0.168], [0.929, 0.250, 0.858], [0.773, 0.250, 0.546], [0.655, 0.989, 0.310], [0.227, 0.750, 0.454], [0.071, 0.750, 0.142], [0.345, 0.011, 0.690]]
}

{
  "formula": "CeYSnPt",
  "functional": "PBE",
  "state": "relaxed",
  "mass_density_g_cm3": 8.938,
  "e_tot_ev_per_atom": -6.354,
  "lattice": [[5.225, 0.000, 0.000], [2.612, 4.525, 0.000], [2.612, 1.508, 4.266]],
  "species": ["Pt", "Sn", "Ce", "Y"],
  "frac_coords": [[0.750, 0.750, 0.750], [0.250, 0.250, 0.250], [0.000, 0.000, 0.000], [0.500, 0.500, 0.500]]
}